Computed, not measured: a relaxed CdSeSCl2 crystal at the PBE level of DFT.

extended XYZ file:
```
5
Lattice="4.995 0.000 0.000 0.000 4.995 0.000 0.000 0.000 5.459" Properties=species:S:1:pos:R:3 pbc="T T T"
Cl 2.497 0.000 0.000
Cl 0.000 2.497 0.000
S 0.000 0.000 2.729
Cd 0.000 0.000 0.000
Se 2.497 2.497 2.729
```

Calculated values
Total magnetization (μB/atom): 0.31
Offset from the most stable computed form (eV/atom): 0.1701
Space-group type: No. 123
Volume (Å³ per cell): 136.2
Formation energy (no corrections) (eV/atom): 0.270